1.
DFT (PBE-GGA) results for a geometry-optimized Ho12Al7Si structure.

CIF file:
```
data_Ho12Al7Si
_chemical_formula_sum 'Ho24 Al14 Si2'
_cell_length_a 11.174
_cell_length_b 11.174
_cell_length_c 11.174
_cell_angle_alpha 117.45
_cell_angle_beta 117.45
_cell_angle_gamma 94.47
_symmetry_space_group_name_H-M 'P 1'
_symmetry_Int_Tables_number 1
_symmetry_space_group_name_Hall 'P 1'
loop_
_atom_site_label
_atom_site_fract_x
_atom_site_fract_y
_atom_site_fract_z
Si1 0.250 0.250 0.000
Si2 0.750 0.750 0.000
Al1 0.119 0.381 0.500
Al2 0.882 0.025 0.500
Al3 0.500 0.500 0.000
Al4 0.618 0.118 0.144
Al5 0.975 0.475 0.856
Al6 0.118 0.975 0.500
Al7 0.881 0.619 0.500
Al8 0.525 0.382 0.500
Al9 0.475 0.618 0.500
Al10 0.619 0.119 0.738
Al11 0.000 0.000 0.000
Al12 0.382 0.882 0.856
Al13 0.381 0.881 0.262
Al14 0.025 0.525 0.144
Ho1 0.701 0.437 0.863
Ho2 0.437 0.573 0.736
Ho3 0.427 0.163 0.863
Ho4 0.353 0.853 0.500
Ho5 0.927 0.063 0.264
Ho6 0.853 0.353 0.500
Ho7 0.063 0.799 0.137
Ho8 0.563 0.427 0.264
Ho9 0.073 0.937 0.736
Ho10 0.328 0.172 0.500
Ho11 0.299 0.563 0.137
Ho12 0.337 0.073 0.137
Ho13 0.672 0.828 0.500
Ho14 0.201 0.337 0.264
Ho15 0.163 0.299 0.736
Ho16 0.828 0.328 0.157
Ho17 0.172 0.672 0.843
Ho18 0.937 0.201 0.863
Ho19 0.647 0.147 0.500
Ho20 0.147 0.647 0.500
Ho21 0.663 0.927 0.863
Ho22 0.573 0.837 0.137
Ho23 0.799 0.663 0.736
Ho24 0.837 0.701 0.264
```

## Properties
N(E_F) = 27.68 states/eV/cell
Uncorrected formation energy = -0.38 eV/atom
Mass density = 7.1 Mg/m³

2.
DFT (PBE-GGA) results for a geometry-optimized HoAlSi2 structure.

CIF file:
```
data_HoAlSi2
_chemical_formula_sum 'Ho8 Al8 Si16'
_cell_length_a 4.152
_cell_length_b 11.217
_cell_length_c 12.821
_cell_angle_alpha 90.00
_cell_angle_beta 90.00
_cell_angle_gamma 90.00
_symmetry_space_group_name_H-M 'P 1'
_symmetry_Int_Tables_number 1
_symmetry_space_group_name_Hall 'P 1'
loop_
_atom_site_label
_atom_site_fract_x
_atom_site_fract_y
_atom_site_fract_z
Si1 0.250 0.464 0.529
Si2 0.250 0.073 0.369
Si3 0.750 0.729 0.710
Si4 0.750 0.721 0.391
Si5 0.750 0.771 0.210
Si6 0.250 0.221 0.109
Si7 0.250 0.229 0.790
Si8 0.250 0.279 0.609
Si9 0.250 0.427 0.869
Si10 0.750 0.573 0.131
Si11 0.750 0.779 0.891
Si12 0.750 0.964 0.971
Si13 0.750 0.927 0.631
Si14 0.750 0.536 0.471
Si15 0.250 0.036 0.029
Si16 0.250 0.271 0.290
Ho1 0.750 0.227 0.949
Ho2 0.250 0.773 0.051
Ho3 0.750 0.464 0.700
Ho4 0.250 0.727 0.551
Ho5 0.750 0.036 0.200
Ho6 0.250 0.536 0.300
Ho7 0.250 0.964 0.800
Ho8 0.750 0.273 0.449
Al1 0.250 0.846 0.310
Al2 0.250 0.654 0.810
Al3 0.750 0.154 0.690
Al4 0.750 0.948 0.435
Al5 0.250 0.448 0.065
Al6 0.250 0.052 0.565
Al7 0.750 0.552 0.935
Al8 0.750 0.346 0.190
```

## Properties
N(E_F) = 10.44 states/eV/cell
Uncorrected formation energy = -0.35 eV/atom
Mass density = 5.5 Mg/m³

3.
DFT (PBE-GGA) results for a geometry-optimized TbHoAlSi structure.

CIF file:
```
data_TbHoAlSi
_chemical_formula_sum 'Tb1 Ho1 Al1 Si1'
_cell_length_a 4.337
_cell_length_b 3.984
_cell_length_c 5.833
_cell_angle_alpha 90.00
_cell_angle_beta 111.83
_cell_angle_gamma 90.00
_symmetry_space_group_name_H-M 'P 1'
_symmetry_Int_Tables_number 1
_symmetry_space_group_name_Hall 'P 1'
loop_
_atom_site_label
_atom_site_fract_x
_atom_site_fract_y
_atom_site_fract_z
Al1 0.572 0.500 0.144
Tb1 0.143 0.000 0.286
Si1 0.425 0.000 0.850
Ho1 0.860 0.500 0.721
```

## Properties
N(E_F) = 3.30 states/eV/cell
Uncorrected formation energy = -0.65 eV/atom
Mass density = 6.7 Mg/m³

4.
DFT (PBE-GGA) results for a geometry-optimized HoTmAlSi structure.

CIF file:
```
data_HoTmAlSi
_chemical_formula_sum 'Ho1 Tm1 Al1 Si1'
_cell_length_a 4.294
_cell_length_b 3.955
_cell_length_c 5.769
_cell_angle_alpha 90.00
_cell_angle_beta 111.85
_cell_angle_gamma 90.00
_symmetry_space_group_name_H-M 'P 1'
_symmetry_Int_Tables_number 1
_symmetry_space_group_name_Hall 'P 1'
loop_
_atom_site_label
_atom_site_fract_x
_atom_site_fract_y
_atom_site_fract_z
Si1 0.424 0.000 0.848
Al1 0.573 0.500 0.146
Tm1 0.860 0.500 0.720
Ho1 0.143 0.000 0.286
```

## Properties
N(E_F) = 3.17 states/eV/cell
Uncorrected formation energy = -0.64 eV/atom
Mass density = 7.1 Mg/m³

5.
DFT (PBE-GGA) results for a geometry-optimized SmHo2Al structure.

CIF file:
```
data_SmHo2Al
_chemical_formula_sum 'Sm1 Ho2 Al1'
_cell_length_a 5.363
_cell_length_b 5.363
_cell_length_c 5.363
_cell_angle_alpha 60.00
_cell_angle_beta 60.00
_cell_angle_gamma 60.00
_symmetry_space_group_name_H-M 'P 1'
_symmetry_Int_Tables_number 1
_symmetry_space_group_name_Hall 'P 1'
loop_
_atom_site_label
_atom_site_fract_x
_atom_site_fract_y
_atom_site_fract_z
Ho1 0.750 0.750 0.750
Ho2 0.250 0.250 0.250
Sm1 0.000 0.000 0.000
Al1 0.500 0.500 0.500
```

## Properties
ΔE to the lowest computed polymorph = 0.186 eV per atom
N(E_F) = 6.13 states/eV/cell
E_form = -9 meV/atom
Mass density = 7.7 Mg/m³

6.
DFT (PBE-GGA) results for a geometry-optimized SmHo4Al structure.

CIF file:
```
data_SmHo4Al
_chemical_formula_sum 'Sm1 Ho4 Al1'
_cell_length_a 3.537
_cell_length_b 3.537
_cell_length_c 13.941
_cell_angle_alpha 90.00
_cell_angle_beta 90.00
_cell_angle_gamma 90.00
_symmetry_space_group_name_H-M 'P 1'
_symmetry_Int_Tables_number 1
_symmetry_space_group_name_Hall 'P 1'
loop_
_atom_site_label
_atom_site_fract_x
_atom_site_fract_y
_atom_site_fract_z
Ho1 0.500 0.500 0.818
Ho2 0.000 0.000 0.635
Ho3 0.500 0.500 0.182
Ho4 0.000 0.000 0.365
Al1 0.500 0.500 0.500
Sm1 0.000 0.000 0.000
```

## Properties
ΔE to the lowest computed polymorph = 0.000 eV per atom
N(E_F) = 6.78 states/eV/cell
E_form = -120 meV/atom
Mass density = 8.0 Mg/m³

7.
DFT (PBE-GGA) results for a geometry-optimized SmHo3Al4 structure.

CIF file:
```
data_SmHo3Al4
_chemical_formula_sum 'Sm2 Ho6 Al8'
_cell_length_a 5.093
_cell_length_b 7.241
_cell_length_c 10.187
_cell_angle_alpha 90.00
_cell_angle_beta 90.00
_cell_angle_gamma 90.00
_symmetry_space_group_name_H-M 'P 1'
_symmetry_Int_Tables_number 1
_symmetry_space_group_name_Hall 'P 1'
loop_
_atom_site_label
_atom_site_fract_x
_atom_site_fract_y
_atom_site_fract_z
Al1 0.000 0.244 0.750
Al2 0.500 0.244 0.000
Al3 0.000 0.244 0.250
Al4 0.000 0.756 0.750
Al5 0.000 0.756 0.250
Al6 0.500 0.756 0.500
Al7 0.500 0.244 0.500
Al8 0.500 0.756 0.000
Ho1 0.500 0.000 0.750
Ho2 0.000 0.000 0.000
Ho3 0.500 0.000 0.250
Ho4 0.000 0.000 0.500
Ho5 0.500 0.500 0.750
Ho6 0.500 0.500 0.250
Sm1 0.000 0.500 0.000
Sm2 0.000 0.500 0.500
```

## Properties
N(E_F) = 6.46 states/eV/cell
E_form = -389 meV/atom
Mass density = 6.7 Mg/m³

8.
DFT (PBE-GGA) results for a geometry-optimized SmHo7Al5 structure.

CIF file:
```
data_SmHo7Al5
_chemical_formula_sum 'Sm1 Ho7 Al5'
_cell_length_a 6.094
_cell_length_b 8.003
_cell_length_c 8.003
_cell_angle_alpha 79.27
_cell_angle_beta 67.62
_cell_angle_gamma 67.62
_symmetry_space_group_name_H-M 'P 1'
_symmetry_Int_Tables_number 1
_symmetry_space_group_name_Hall 'P 1'
loop_
_atom_site_label
_atom_site_fract_x
_atom_site_fract_y
_atom_site_fract_z
Ho1 0.991 0.671 0.346
Ho2 0.665 0.335 0.335
Ho3 0.270 0.230 0.230
Ho4 0.506 0.800 0.188
Ho5 0.991 0.346 0.671
Ho6 0.506 0.188 0.800
Ho7 0.340 0.660 0.660
Al1 0.997 0.514 0.996
Al2 0.493 0.996 0.514
Al3 0.738 0.762 0.762
Al4 0.997 0.996 0.514
Al5 0.493 0.514 0.996
Sm1 0.012 0.988 0.988
```

## Properties
N(E_F) = 12.01 states/eV/cell
E_form = -229 meV/atom
Mass density = 7.2 Mg/m³